# 1
Material: Ta2CoAu
Method: DFT, PBE-GGA
State: optimized geometry

## Properties
As for the formation energy: 0.03 eV/f.u.

a b c (Å): 4.8932 4.8932 2.8575
angles (deg): 90.00 90.00 110.80
Atoms (fractional coordinates):
Ta (0.0000, 0.5000, 0.0000)
Ta (0.5000, 0.0000, 0.0000)
Co (0.0000, 0.0000, 0.5000)
Au (0.5000, 0.5000, 0.5000)

---

# 2
Material: TaCoAu2
Method: DFT, PBE-GGA
State: optimized geometry

## Properties
As for the formation energy: 2.15 eV/f.u.

a b c (Å): 5.7766 5.7766 5.7766
angles (deg): 101.98 101.98 125.79
Atoms (fractional coordinates):
Ta (0.0000, 0.0000, 0.0000)
Ta (0.7500, 0.2500, 0.5000)
Co (0.2500, 0.7500, 0.5000)
Co (0.5000, 0.5000, 0.0000)
Au (0.1468, 0.1250, 0.5218)
Au (0.3750, 0.8532, 0.9782)
Au (0.6032, 0.6250, 0.4782)
Au (0.8750, 0.3968, 0.0218)

---

# 3
Material: TaCoAu2
Method: DFT, PBE-GGA
State: optimized geometry

## Properties
As for the formation energy: 0.30 eV/f.u.

a b c (Å): 5.0046 5.0046 5.0046
angles (deg): 134.20 134.20 66.77
Atoms (fractional coordinates):
Ta (0.0000, 0.0000, 0.0000)
Co (0.5000, 0.5000, 0.0000)
Au (0.2500, 0.7500, 0.5000)
Au (0.7500, 0.2500, 0.5000)

---

# 4
Material: TaCoAu2
Method: DFT, PBE-GGA
State: optimized geometry

## Properties
As for the formation energy: 0.73 eV/f.u.

a b c (Å): 4.5155 4.5155 4.5155
angles (deg): 60.00 60.00 60.00
Atoms (fractional coordinates):
Ta (0.0000, 0.0000, 0.0000)
Co (0.5000, 0.5000, 0.5000)
Au (0.2500, 0.2500, 0.2500)
Au (0.7500, 0.7500, 0.7500)

---

# 5
Material: Ta2CoAu
Method: DFT, PBE-GGA
State: optimized geometry

## Properties
As for the formation energy: 0.10 eV/f.u.

a b c (Å): 2.8439 4.5372 5.0164
angles (deg): 90.00 94.50 90.00
Atoms (fractional coordinates):
Ta (0.0000, 0.0000, 0.0000)
Ta (0.1674, 0.5000, 0.6573)
Co (0.5629, 0.0000, 0.5299)
Au (0.5829, 0.5000, 0.1828)

---

# 6
Material: TaCoAu
Method: DFT, PBE-GGA
State: optimized geometry

## Properties
As for the formation energy: 0.78 eV/f.u.

a b c (Å): 4.1763 4.1763 4.1763
angles (deg): 60.00 60.00 60.00
Atoms (fractional coordinates):
Ta (0.0000, 0.0000, 0.0000)
Co (0.2500, 0.2500, 0.2500)
Au (0.5000, 0.5000, 0.5000)

---

# 7
Material: Tb3CoAu
Method: DFT, PBE-GGA
State: optimized geometry

## Properties
As for the formation energy: -2.00 eV/f.u.

a b c (Å): 5.9658 5.9658 8.4323
angles (deg): 111.93 111.93 64.07
Atoms (fractional coordinates):
Tb (0.0190, 0.0190, 0.2179)
Tb (0.2937, 0.2937, 0.6692)
Tb (0.3178, 0.3178, 0.1399)
Tb (0.6822, 0.6822, 0.8601)
Tb (0.7063, 0.7063, 0.3308)
Tb (0.9810, 0.9810, 0.7821)
Co (0.3172, 0.6828, 0.0000)
Co (0.6828, 0.3172, 0.0000)
Au (0.2727, 0.7273, 0.5000)
Au (0.7273, 0.2727, 0.5000)

---

# 8
Material: Tb5Co2Au
Method: DFT, PBE-GGA
State: optimized geometry

## Properties
As for the formation energy: -2.87 eV/f.u.

a b c (Å): 8.5025 8.5025 8.5025
angles (deg): 127.42 127.42 77.57
Atoms (fractional coordinates):
Tb (0.0000, 0.0000, 0.0000)
Tb (0.0290, 0.5290, 0.8281)
Tb (0.2009, 0.0290, 0.5000)
Tb (0.2991, 0.7991, 0.8281)
Tb (0.4710, 0.2991, 0.5000)
Tb (0.5000, 0.5000, 0.0000)
Tb (0.5290, 0.7009, 0.5000)
Tb (0.7009, 0.2009, 0.1719)
Tb (0.7991, 0.9710, 0.5000)
Tb (0.9710, 0.4710, 0.1719)
Co (0.1309, 0.3691, 0.5000)
Co (0.3691, 0.8691, 0.2382)
Co (0.6309, 0.1309, 0.7618)
Co (0.8691, 0.6309, 0.5000)
Au (0.2500, 0.2500, 0.0000)
Au (0.7500, 0.7500, 0.0000)